[1]
Crystalline Cs4RbMg3F12 at its relaxed geometry. Source: Alexandria, functional PBE.

Calculated values
Symmetry   Im-3m (229)

Geometry as POSCAR:
```
Cs4RbMg3F12
1.0
-3.462 5.292 -4.542
-4.988 -2.371 5.487
6.257 3.172 3.376
Cs Rb Mg F
4 1 3 12
Cartesian
-1.096 3.047 2.161
3.128 1.586 1.688
-1.731 2.646 -2.271
-2.494 -1.186 2.744
0.000 0.000 0.000
1.398 4.232 -0.583
-4.225 1.460 0.473
0.635 0.401 4.432
1.333 2.517 4.141
1.984 6.006 -0.827
0.812 2.458 -0.338
-3.526 3.576 0.182
-5.996 2.072 0.671
-2.454 0.848 0.275
-0.715 4.962 -0.346
-1.478 1.131 4.668
1.715 4.433 1.633
0.901 0.568 6.290
-3.907 1.661 2.689
0.369 0.233 2.574
```

---

[2]
Crystalline CsMgRhF6 at its relaxed geometry. Source: Alexandria, functional PBE.

Calculated values
Symmetry   Imma (74)

Geometry as POSCAR:
```
CsMgRhF6
1.0
-5.580 -0.115 -4.887
1.149 -7.222 -1.143
-1.191 2.506 6.931
Cs Mg Rh F
2 2 2 12
Cartesian
-5.174 -2.774 0.342
-0.447 -2.056 0.559
-3.385 1.196 1.022
-0.595 1.253 3.466
-2.215 -3.668 -3.015
-2.790 -0.057 -2.444
-2.595 -2.789 3.029
-5.186 1.029 0.266
-4.795 0.017 -2.402
-1.873 -4.310 -1.144
-2.569 0.062 -0.452
-4.100 -4.355 -3.094
-3.026 -2.041 -2.128
-0.436 -5.859 0.635
-0.826 -4.847 3.303
-3.748 -0.521 2.046
-3.052 -4.893 1.354
-1.522 -0.475 3.995
```

---

[3]
Crystalline CsMgRuF6 at its relaxed geometry. Source: Alexandria, functional PBE.

Calculated values
Symmetry   P312 (149)

Geometry as POSCAR:
```
CsMgRuF6
1.0
5.426 0.001 0.000
2.714 4.699 0.000
0.000 -0.001 6.594
Cs Mg Ru F
1 1 1 6
Cartesian
5.427 0.000 6.595
5.427 3.133 3.297
2.714 1.566 3.297
6.435 1.749 2.200
4.732 4.698 4.394
4.418 1.749 4.395
7.129 2.952 4.394
3.724 2.951 2.200
6.121 4.697 2.200
```

---

[4]
Crystalline CsMgRuF2 at its relaxed geometry. Source: Alexandria, functional PBE.

Calculated values
Symmetry   P4/mmm (123)

Geometry as POSCAR:
```
CsMgRuF2
1.0
-4.917 0.866 0.814
-1.210 -2.698 -4.438
-0.309 -4.277 2.684
Cs Ru Mg F
1 1 1 2
Cartesian
0.000 0.000 0.000
-0.605 -1.349 -2.219
-3.218 -3.054 -0.470
-0.154 -2.138 1.342
-2.459 0.433 0.407
```

---

[5]
Crystalline CsMg2SF at its relaxed geometry. Source: Alexandria, functional PBE.

Calculated values
Symmetry   P4/mmm (123)

Geometry as POSCAR:
```
CsMg2SF
1.0
4.726 0.000 0.000
0.000 8.648 0.000
0.000 0.000 4.726
Cs S Mg F
1 1 2 1
Cartesian
0.000 4.324 0.000
0.000 0.000 0.000
0.000 0.000 2.363
2.363 0.000 0.000
2.363 4.324 2.363
```

---

[6]
Crystalline CsMg2ScF8 at its relaxed geometry. Source: Alexandria, functional PBE.

Calculated values
Symmetry   C2/m (12)

Geometry as POSCAR:
```
CsMg2ScF8
1.0
0.068 2.888 4.626
4.404 -1.422 2.888
5.180 5.679 -1.161
Cs Mg Sc F
1 2 1 8
Cartesian
2.590 2.840 -0.580
5.724 4.736 2.534
3.927 2.409 3.819
0.000 0.000 0.000
4.334 0.640 3.072
3.905 1.660 5.611
2.041 2.921 3.995
5.318 6.505 3.281
5.746 5.484 0.742
7.611 4.224 2.358
5.399 3.714 4.250
4.253 3.431 2.104
```

---

[7]
Crystalline Cs2Mg3ScF12 at its relaxed geometry. Source: Alexandria, functional PBE.

Calculated values
Symmetry   R-3m (166)

Geometry as POSCAR:
```
Cs2Mg3ScF12
1.0
-2.059 -0.586 7.237
-7.074 -1.852 1.865
-1.557 -6.730 3.040
Cs Mg Sc F
2 3 1 12
Cartesian
-6.654 -5.706 7.557
-4.037 -3.462 4.586
-1.030 -0.293 3.618
-3.537 -0.926 0.933
-0.779 -3.365 1.520
0.000 0.000 0.000
-4.342 -7.043 5.714
-9.004 -4.436 9.452
-8.698 -8.178 6.896
-4.651 -3.263 8.296
-5.644 -7.407 10.168
-7.737 -4.042 4.991
-6.349 -2.126 6.428
-1.687 -4.732 2.690
-1.993 -0.990 5.247
-6.040 -5.906 3.846
-5.047 -1.761 1.975
-2.954 -5.126 7.151
```

---

[8]
Crystalline CsMgScF6 at its relaxed geometry. Source: Alexandria, functional PBE.

Calculated values
Symmetry   Imma (74)

Geometry as POSCAR:
```
CsMgScF6
1.0
7.454 0.000 0.000
0.000 7.699 0.000
-3.727 -3.849 5.346
Cs Mg Sc F
2 2 2 12
Cartesian
3.727 1.925 4.262
0.000 1.925 1.084
1.863 -1.925 2.673
-1.863 -1.925 2.673
3.727 3.849 0.000
3.727 0.000 0.000
0.000 1.925 4.579
3.727 -1.925 3.320
5.186 -0.477 1.305
2.268 4.326 1.305
2.268 -0.477 1.305
5.186 4.326 1.305
3.727 1.925 0.767
0.000 5.774 2.026
-1.459 4.326 4.041
1.459 -0.477 4.041
1.459 4.326 4.041
-1.459 -0.477 4.041
```

---

[9]
Crystalline CsSmMgF6 at its relaxed geometry. Source: Alexandria, functional PBE.

Calculated values
Symmetry   Imma (74)

Geometry as POSCAR:
```
CsSmMgF6
1.0
-1.779 -8.019 1.114
-0.981 -0.842 -7.628
6.633 3.190 2.719
Cs Sm Mg F
2 2 2 12
Cartesian
2.189 -5.005 -1.691
1.683 -0.666 -2.105
2.427 -2.414 1.916
3.316 1.595 1.359
-1.380 -4.431 -3.257
-0.890 -4.010 0.557
4.729 -1.385 -2.417
2.933 -4.644 2.098
0.217 -5.697 0.810
0.288 -3.398 -3.795
0.830 -2.932 0.426
-0.326 -6.163 -3.411
-0.856 -4.286 -1.379
0.940 -1.027 -5.893
3.656 0.026 -4.606
3.585 -2.273 -0.001
3.043 -2.739 -4.222
4.199 0.492 -0.385
```

---

[10]
Crystalline Cs2SmMgF6 at its relaxed geometry. Source: Alexandria, functional PBE.

Calculated values
Symmetry   Immm (71)

Geometry as POSCAR:
```
Cs2SmMgF6
1.0
-5.591 -1.886 -1.728
2.441 -1.768 -5.968
1.757 -8.054 3.105
Cs Sm Mg F
4 2 2 12
Cartesian
-0.534 -4.243 -4.578
1.919 -6.443 0.821
0.361 -8.349 -2.996
1.058 -2.495 -0.701
-1.307 -5.411 -0.803
1.831 -1.327 -4.477
2.709 -5.353 -2.923
-2.185 -1.385 -2.357
-1.767 -3.300 -1.618
-0.846 -7.524 0.010
2.291 -3.438 -3.662
3.127 -7.268 -2.185
1.858 -6.191 -4.615
-0.993 -7.152 -5.496
0.820 -5.439 -2.078
-2.031 -6.401 -2.959
-3.036 -2.223 -4.048
-0.296 -1.299 -3.202
-1.334 -0.547 -0.665
-4.073 -1.471 -1.512
```

---

[11]
Crystalline CsMgSnF2 at its relaxed geometry. Source: Alexandria, functional PBE.

Calculated values
Symmetry   P4/mmm (123)

Geometry as POSCAR:
```
CsMgSnF2
1.0
-2.241 -4.061 -2.014
2.594 -3.720 4.615
-4.055 0.791 2.917
Cs Mg Sn F
1 1 1 2
Cartesian
0.000 0.000 0.000
-1.851 -3.495 2.759
1.297 -1.860 2.307
-2.027 0.396 1.459
-1.121 -2.031 -1.007
```

---

[12]
Crystalline Cs3SrMg2F9 at its relaxed geometry. Source: Alexandria, functional PBE.

Calculated values
Symmetry   P-3m1 (164)

Geometry as POSCAR:
```
Cs3SrMg2F9
1.0
6.231 0.000 0.000
-3.116 5.396 0.000
0.000 0.000 7.677
Cs Sr Mg F
3 1 2 9
Cartesian
0.000 3.598 5.159
0.000 0.000 0.000
3.116 1.799 2.518
0.000 0.000 3.839
0.000 3.598 1.186
3.116 1.799 6.491
4.541 0.976 5.293
3.116 3.445 5.293
1.690 0.976 5.293
1.425 4.420 2.384
0.000 1.952 2.384
-1.425 4.420 2.384
3.116 0.000 0.000
-1.558 2.698 0.000
1.558 2.698 0.000
```

---

[13]
Crystalline Cs2SrMgF6 at its relaxed geometry. Source: Alexandria, functional PBE.

Calculated values
Symmetry   P4/mmm (123)

Geometry as POSCAR:
```
Cs2SrMgF6
1.0
-3.673 2.491 1.349
-2.239 -1.199 -3.881
-3.321 -7.128 4.118
Cs Sr Mg F
2 1 1 6
Cartesian
-2.438 -5.233 3.023
-0.883 -1.895 1.094
-2.956 0.646 -1.266
-4.617 -2.918 0.793
-1.836 1.245 0.675
-3.497 -2.318 2.733
-1.120 -0.599 -1.941
-2.780 -4.163 0.118
-5.340 -4.470 1.690
-3.893 -1.366 -0.104
```

---

[14]
Crystalline CsTbMgF6 at its relaxed geometry. Source: Alexandria, functional PBE.

Calculated values
Symmetry   Imma (74)

Geometry as POSCAR:
```
CsTbMgF6
1.0
8.162 0.000 0.000
0.000 7.668 0.000
-4.081 -3.834 5.446
Cs Tb Mg F
2 2 2 12
Cartesian
4.081 1.917 3.507
0.000 1.917 1.939
2.041 -1.917 2.723
-2.041 -1.917 2.723
4.081 3.834 0.000
4.081 0.000 0.000
0.000 1.917 5.033
4.081 -1.917 3.647
5.514 -0.266 1.421
2.648 4.100 1.421
2.648 -0.266 1.421
5.514 4.100 1.421
4.081 1.917 0.413
0.000 5.751 1.799
-1.433 4.100 4.024
1.433 -0.266 4.024
1.433 4.100 4.024
-1.433 -0.266 4.024
```

---

[15]
Crystalline Cs2TbMg3F12 at its relaxed geometry. Source: Alexandria, functional PBE.

Calculated values
Symmetry   R-3m (166)

Geometry as POSCAR:
```
Cs2TbMg3F12
1.0
-3.153 4.880 -5.032
-6.210 -1.973 -4.075
-6.833 3.240 1.370
Cs Tb Mg F
2 1 3 12
Cartesian
-9.979 3.787 -4.767
-6.219 2.360 -2.971
0.000 0.000 0.000
-1.577 2.440 -2.516
-3.105 -0.987 -2.038
-3.417 1.620 0.685
-9.200 3.893 -1.522
-10.975 3.794 -7.897
-13.083 2.855 -4.230
-6.919 4.909 -5.491
-11.332 6.780 -4.778
-8.814 0.660 -4.898
-6.997 2.254 -6.216
-5.222 2.352 0.160
-3.114 3.291 -3.507
-9.278 1.238 -2.246
-4.865 -0.634 -2.959
-7.383 5.486 -2.839
```

---

[16]
Crystalline Cs2Mg3TiF12 at its relaxed geometry. Source: Alexandria, functional PBE.

Calculated values
Symmetry   R-3m (166)

Geometry as POSCAR:
```
Cs2Mg3TiF12
1.0
7.532 0.120 0.085
3.824 6.490 0.085
3.824 2.226 6.097
Cs Mg Ti F
2 3 1 12
Cartesian
9.238 5.377 3.814
5.942 3.459 2.453
3.766 0.060 0.043
1.912 3.245 0.043
1.912 1.113 3.049
0.000 0.000 0.000
7.157 4.166 5.732
11.777 6.855 1.996
9.425 8.191 5.810
9.436 2.872 2.037
11.777 4.150 5.810
7.157 6.787 2.037
8.023 4.670 0.536
3.403 1.981 4.271
5.755 0.645 0.457
5.744 5.964 4.230
3.403 4.686 0.457
8.023 2.049 4.230
```

---

[17]
Crystalline Cs2MgTlF6 at its relaxed geometry. Source: Alexandria, functional PBE.

Calculated values
Symmetry   Pmmn (59)

Geometry as POSCAR:
```
Cs2MgTlF6
1.0
-4.278 1.054 -4.602
-4.585 -2.426 3.706
-1.610 8.199 3.374
Cs Mg Tl F
4 2 2 12
Cartesian
-5.981 0.757 1.322
-2.354 5.543 3.457
-6.786 4.857 3.010
-1.549 1.444 1.770
-4.242 2.281 4.465
-3.287 -0.080 -1.373
-4.089 4.021 0.311
-3.440 -1.820 2.781
-3.654 1.789 -0.604
-4.530 6.250 1.232
-3.875 0.412 3.696
-4.609 4.151 5.235
-6.263 1.969 4.261
-8.590 2.542 1.757
-4.173 3.075 2.571
-6.499 3.648 0.068
-5.308 -0.393 -1.578
-3.357 -0.874 0.521
-1.267 0.232 -1.169
-3.217 0.713 -3.267
```

---

[18]
Crystalline Cs2Mg2TlF7 at its relaxed geometry. Source: Alexandria, functional PBE.

Calculated values
Symmetry   I4/mmm (139)

Geometry as POSCAR:
```
Cs2Mg2TlF7
1.0
-2.341 -3.403 -0.773
2.341 -0.841 -3.386
7.180 -8.552 4.481
Cs Mg Tl F
2 2 1 7
Cartesian
2.652 -6.618 -1.736
4.529 -6.178 2.058
5.923 -9.550 1.251
1.257 -3.246 -0.930
0.000 0.000 0.000
0.000 -2.122 -2.080
2.498 -4.359 0.202
4.683 -8.437 0.119
0.100 -4.961 -1.307
2.440 -3.680 -2.613
4.740 -9.116 2.934
7.081 -7.835 1.628
```

---

Number 1: E_form (uncorrected) -2929 meV/atom. Number 2: E_form (uncorrected) -2553 meV/atom. Number 3: E_form (uncorrected) -2513 meV/atom. Number 4: E_form (uncorrected) 39 meV/atom. Number 5: E_form (uncorrected) -1007 meV/atom. Number 6: E_form (uncorrected) -3498 meV/atom. Number 7: E_form (uncorrected) -3300 meV/atom. Number 8: E_form (uncorrected) -3617 meV/atom. Number 9: E_form (uncorrected) -3612 meV/atom. Number 10: E_form (uncorrected) -3104 meV/atom. Number 11: E_form (uncorrected) -693 meV/atom. Number 12: E_form (uncorrected) -3283 meV/atom. Number 13: E_form (uncorrected) -3283 meV/atom. Number 14: E_form (uncorrected) -3645 meV/atom. Number 15: E_form (uncorrected) -3311 meV/atom. Number 16: E_form (uncorrected) -3385 meV/atom. Number 17: E_form (uncorrected) -2677 meV/atom. Number 18: E_form (uncorrected) -2975 meV/atom.